1.
Compound: In5Sn3S12
Source: Alexandria via LeMat-Bulk
Functional: PBE
Structure: optimized geometry

```
In5Sn3S12
1.0
13.699 0.000 0.000
-4.566 12.916 0.000
-4.566 -6.458 11.185
Sn In S
12 20 48
Cartesian
7.991 4.036 1.398
7.991 8.880 1.398
-1.142 5.651 6.991
1.142 -0.807 4.194
10.274 0.000 2.796
1.142 6.458 2.796
3.425 0.000 8.389
-5.708 6.458 8.389
3.425 7.265 6.991
5.708 0.807 4.194
-3.425 -2.422 9.787
-3.425 2.422 9.787
-1.142 3.229 2.796
-2.283 6.458 0.000
0.000 0.000 0.000
3.425 2.422 1.398
4.566 -3.229 5.593
4.566 6.458 0.000
-3.425 7.265 4.194
5.708 -4.036 9.787
5.708 5.651 4.194
1.142 -3.229 8.389
3.425 9.687 2.796
2.283 3.229 5.593
6.850 0.000 0.000
-2.283 -3.229 5.593
-1.142 0.807 6.991
-1.142 10.494 1.398
-4.566 3.229 5.593
7.991 -0.807 6.991
1.142 4.036 9.787
5.708 3.229 8.389
9.008 1.436 0.480
0.125 4.363 4.589
10.137 2.911 3.176
5.845 1.934 1.484
1.649 4.902 7.530
9.627 6.499 1.937
-1.005 7.435 4.660
-3.562 10.981 1.484
0.635 8.014 7.530
6.355 6.417 1.937
6.974 3.531 4.109
6.974 11.479 0.480
-3.932 5.743 6.073
2.778 4.760 0.933
-4.691 9.384 4.109
2.408 -2.095 6.596
-0.635 0.841 2.417
2.778 8.115 1.004
5.845 10.005 3.176
-0.495 4.801 1.004
-2.918 7.299 8.768
3.288 5.481 4.660
6.215 7.173 6.073
5.061 -1.698 10.252
1.279 0.977 6.526
-1.649 -0.715 5.113
-0.495 8.156 0.933
-1.279 -3.547 8.010
7.484 -0.841 2.417
5.061 1.657 10.182
1.789 -1.657 10.182
2.158 8.553 4.589
5.201 5.617 8.768
9.258 -2.927 7.077
8.498 0.715 5.113
-2.408 -5.022 10.705
1.789 1.698 10.252
3.932 -1.556 3.656
-1.789 0.041 9.248
-2.408 2.927 7.077
8.128 -4.524 9.701
5.571 -0.977 6.526
-1.279 4.524 9.701
-5.061 -0.041 9.248
2.918 1.556 3.656
-5.571 3.547 8.010
4.442 2.095 6.596
-4.442 5.022 10.705
```

Values from the calculation:
**Magnetization**: 0.0 μB/cell
**Uncorrected formation energy**: -0.32 eV per atom
**DOS at the Fermi energy**: 10.16 states/eV/f.u.
**Total energy**: -4.082 eV per atom

---

2.
Compound: In2SnS2
Source: Alexandria via LeMat-Bulk
Functional: PBE
Structure: optimized geometry

```
In2SnS2
1.0
8.050 0.000 0.000
0.000 8.050 0.000
0.000 0.000 3.888
S Sn In
4 2 4
Cartesian
2.427 6.452 0.000
6.452 5.622 0.000
5.622 1.598 0.000
1.598 2.427 0.000
0.000 0.000 0.000
4.025 4.025 0.000
1.073 5.098 1.944
5.098 6.977 1.944
6.977 2.952 1.944
2.952 1.073 1.944
```

Values from the calculation:
**Magnetization**: 0.0 μB/cell
**Uncorrected formation energy**: -0.16 eV per atom
**DOS at the Fermi energy**: 3.24 states/eV/f.u.
**Total energy**: -3.704 eV per atom

---

3.
Compound: InSnS4
Source: Alexandria via LeMat-Bulk
Functional: PBE
Structure: optimized geometry

```
InSnS4
1.0
3.772 0.000 0.000
0.000 5.579 -0.477
0.000 -0.538 6.648
In Sn S
1 1 4
Cartesian
1.886 -0.269 3.324
0.000 0.000 0.000
0.000 3.825 3.936
1.886 1.020 5.679
1.886 4.021 0.493
0.000 1.217 2.236
```

Values from the calculation:
**Magnetization**: 0.0 μB/cell
**Uncorrected formation energy**: -0.25 eV per atom
**DOS at the Fermi energy**: 2.98 states/eV/f.u.
**Total energy**: -4.129 eV per atom

---

4.
Compound: InSn3S
Source: Alexandria via LeMat-Bulk
Functional: PBE
Structure: optimized geometry

```
InSn3S
1.0
5.368 0.000 0.000
0.000 5.368 0.000
0.000 0.000 5.368
S Sn In
1 3 1
Cartesian
0.000 0.000 0.000
0.000 2.684 0.000
0.000 0.000 2.684
2.684 0.000 0.000
2.684 2.684 2.684
```

Values from the calculation:
**Magnetization**: 0.0 μB/cell
**Relative energy among the computed polymorphs**: 0.0000 eV per atom
**Uncorrected formation energy**: 0.21 eV per atom
**DOS at the Fermi energy**: 1.88 states/eV/f.u.
**Total energy**: -3.561 eV per atom

---

5.
Compound: In3SnS3
Source: Alexandria via LeMat-Bulk
Functional: PBE
Structure: optimized geometry

```
In3SnS3
1.0
6.701 0.000 0.000
3.350 5.803 0.000
3.350 1.934 10.318
In Sn S
6 2 6
Cartesian
4.502 3.809 2.262
7.853 1.994 2.262
7.749 5.804 2.262
5.653 1.934 8.057
5.549 5.744 8.057
8.900 3.929 8.057
3.350 1.934 0.002
10.051 5.803 10.316
7.779 5.867 6.826
7.892 1.936 6.826
4.431 3.804 6.826
8.971 3.934 3.492
5.510 5.802 3.492
5.622 1.871 3.492
```

Values from the calculation:
**Magnetization**: 0.0 μB/cell
**Uncorrected formation energy**: -0.29 eV per atom
**DOS at the Fermi energy**: 1.91 states/eV/f.u.
**Total energy**: -3.809 eV per atom

---

6.
Compound: InSn4S5
Source: Alexandria via LeMat-Bulk
Functional: PBE
Structure: optimized geometry

```
InSn4S5
1.0
5.803 0.000 0.000
2.902 6.510 0.000
2.902 0.000 6.510
In Sn S
1 4 5
Cartesian
0.015 0.000 0.000
5.823 2.607 5.210
8.725 5.210 3.903
2.922 1.299 2.607
5.823 3.903 1.299
8.694 2.595 5.233
5.792 5.233 3.915
5.792 1.277 2.595
2.890 3.915 1.277
2.913 0.000 0.000
```

Values from the calculation:
**Magnetization**: 0.0 μB/cell
**Uncorrected formation energy**: -0.39 eV per atom
**DOS at the Fermi energy**: 1.79 states/eV/f.u.
**Total energy**: -4.327 eV per atom

---

7.
Compound: InSn2S4
Source: Alexandria via LeMat-Bulk
Functional: PBE
Structure: optimized geometry

```
InSn2S4
1.0
3.918 0.000 0.000
0.000 6.415 -2.283
0.000 0.254 6.804
In Sn S
1 2 4
Cartesian
0.000 0.000 0.000
1.959 0.127 3.402
1.959 3.208 -1.141
0.000 4.897 -0.044
1.959 5.161 3.499
1.959 1.508 1.023
0.000 1.772 4.566
```

Values from the calculation:
**Magnetization**: 0.0 μB/cell
**Relative energy among the computed polymorphs**: 0.0000 eV per atom
**Uncorrected formation energy**: -0.44 eV per atom
**DOS at the Fermi energy**: 1.54 states/eV/f.u.
**Total energy**: -4.330 eV per atom

---

8.
Compound: Sr2InSnS5
Source: Alexandria via LeMat-Bulk
Functional: PBE
Structure: optimized geometry

```
Sr2InSnS5
1.0
-1.711 -2.557 2.962
5.683 -5.498 -4.543
8.848 2.872 7.592
Sr In Sn S
4 2 2 10
Cartesian
9.882 -4.028 5.311
7.105 0.375 4.429
3.927 -0.835 1.548
4.419 -5.980 0.469
6.454 -3.533 3.759
2.360 -2.951 -1.184
8.174 0.652 8.366
8.276 -4.658 0.761
12.330 -2.066 5.341
8.709 -1.357 6.940
5.984 0.922 7.333
8.640 -1.983 3.281
8.444 -5.811 2.941
4.857 -1.701 4.417
6.285 -3.121 0.937
7.221 -5.981 -0.992
2.649 -3.698 1.417
0.966 -0.480 0.144
```

Values from the calculation:
**Magnetization**: 0.0 μB/cell
**Uncorrected formation energy**: -1.15 eV per atom
**DOS at the Fermi energy**: 0.64 states/eV/f.u.
**Total energy**: -4.567 eV per atom

---

9.
Compound: SrInSn2S
Source: Alexandria via LeMat-Bulk
Functional: PBE
Structure: optimized geometry

```
SrInSn2S
1.0
5.636 0.000 0.000
0.000 5.636 0.000
0.000 0.000 5.661
Sr S Sn In
1 1 2 1
Cartesian
0.000 0.000 2.831
0.000 0.000 0.000
0.000 2.818 0.000
2.818 0.000 0.000
2.818 2.818 2.831
```

Values from the calculation:
**Magnetization**: 0.0 μB/cell
**Uncorrected formation energy**: -0.24 eV per atom
**DOS at the Fermi energy**: 3.34 states/eV/f.u.
**Total energy**: -3.554 eV per atom

---

10.
Compound: Ti2InSnS
Source: Alexandria via LeMat-Bulk
Functional: PBE
Structure: optimized geometry

```
Ti2InSnS
1.0
4.555 0.000 0.000
0.000 5.362 0.000
0.000 0.000 4.555
S Ti Sn In
1 2 1 1
Cartesian
0.000 0.000 0.000
0.000 0.000 2.278
2.278 0.000 0.000
0.000 2.681 0.000
2.278 2.681 2.278
```

Values from the calculation:
**Magnetization**: 0.0 μB/cell
**Uncorrected formation energy**: -0.06 eV per atom
**DOS at the Fermi energy**: 5.39 states/eV/f.u.
**Total energy**: -5.393 eV per atom

---

11.
Compound: TlInSnS3
Source: Alexandria via LeMat-Bulk
Functional: PBE
Structure: optimized geometry

```
TlInSnS3
1.0
-0.513 -2.905 2.870
-2.205 -6.103 -6.571
9.838 -2.084 -0.352
Tl In Sn S
2 2 2 6
Cartesian
1.034 -2.004 -0.369
6.087 -9.087 -3.684
5.696 -2.623 -0.162
1.425 -8.469 -3.891
0.025 -4.724 -3.301
7.095 -6.368 -0.752
-0.755 -7.620 -3.420
7.875 -3.472 -0.632
3.167 -6.890 -4.932
3.953 -4.202 0.880
-0.221 -4.765 -0.435
7.341 -6.327 -3.617
```

Values from the calculation:
**Magnetization**: 0.0 μB/cell
**Uncorrected formation energy**: -0.43 eV per atom
**Total energy**: -4.016 eV per atom

---

12.
Compound: Tl2InSnS4
Source: Alexandria via LeMat-Bulk
Functional: PBE
Structure: optimized geometry

```
Tl2InSnS4
1.0
-4.316 0.946 -4.499
-6.587 -4.548 5.363
-2.060 7.065 3.462
Tl In Sn S
4 2 2 8
Cartesian
-4.790 0.725 0.847
-5.734 3.962 2.433
-9.910 3.395 1.902
-8.795 -0.432 0.026
-8.803 0.132 4.046
-0.979 -0.673 0.790
-6.026 3.945 -2.085
-7.925 -3.572 2.576
-2.732 -0.307 -0.999
-10.515 0.525 2.224
-3.376 3.446 0.511
-9.771 -3.250 0.819
-8.095 2.465 4.574
-6.353 1.387 -1.743
-7.363 4.851 -0.045
-7.045 -1.136 2.810
```

Values from the calculation:
**Magnetization**: 0.0 μB/cell
**Uncorrected formation energy**: -0.39 eV per atom
**DOS at the Fermi energy**: 2.96 states/eV/f.u.
**Total energy**: -3.893 eV per atom

---

13.
Compound: TmIn2SnS4
Source: Alexandria via LeMat-Bulk
Functional: PBE
Structure: optimized geometry

```
TmIn2SnS4
1.0
3.965 0.000 0.000
0.000 7.265 -0.244
0.000 2.465 6.769
Tm In Sn S
1 2 1 4
Cartesian
0.000 4.865 3.262
0.000 2.465 6.769
1.983 1.233 3.384
1.983 3.633 -0.122
0.000 7.150 4.781
3.965 2.580 1.744
1.983 5.897 1.727
1.983 3.833 4.797
```

Values from the calculation:
**Magnetization**: 0.0 μB/cell
**Uncorrected formation energy**: -0.86 eV per atom
**DOS at the Fermi energy**: 3.24 states/eV/f.u.
**Total energy**: -4.664 eV per atom

---

14.
Compound: ZnInSnS4
Source: Alexandria via LeMat-Bulk
Functional: PBE
Structure: optimized geometry

```
ZnInSnS4
1.0
-6.445 -3.323 2.663
-0.999 -0.998 7.542
-5.153 4.139 3.899
Zn In Sn S
2 2 2 8
Cartesian
-5.296 -2.163 6.894
-7.301 1.980 7.211
-5.799 0.408 3.281
-2.576 2.069 1.949
0.000 0.000 0.000
-3.076 1.571 5.721
-9.413 -0.189 10.598
-6.189 1.490 9.289
-6.408 -1.672 4.815
-3.184 0.007 3.507
-3.652 -0.508 7.352
-6.865 -2.165 8.680
-5.732 1.982 5.425
-8.945 0.325 6.752
```

Values from the calculation:
**Magnetization**: 0.0 μB/cell
**Uncorrected formation energy**: -0.49 eV per atom
**DOS at the Fermi energy**: 2.29 states/eV/f.u.
**Total energy**: -3.997 eV per atom

---

15.
Compound: ZnInSn2S
Source: Alexandria via LeMat-Bulk
Functional: PBE
Structure: optimized geometry

```
ZnInSn2S
1.0
5.251 0.000 0.000
0.000 5.038 0.000
0.000 0.000 5.251
S Zn Sn In
1 1 2 1
Cartesian
2.626 2.519 2.626
0.000 0.000 0.000
0.000 0.000 2.626
2.626 0.000 0.000
0.000 2.519 0.000
```

Values from the calculation:
**Magnetization**: 0.0 μB/cell
**Uncorrected formation energy**: 0.35 eV per atom
**DOS at the Fermi energy**: 2.20 states/eV/f.u.
**Total energy**: -2.877 eV per atom

---

16.
Compound: SrIn6S8
Source: Alexandria via LeMat-Bulk
Functional: PBE
Structure: optimized geometry

```
SrIn6S8
1.0
7.275 -0.191 -0.197
-0.417 7.266 -0.197
-0.417 -0.431 7.255
Sr In S
1 6 8
Cartesian
0.000 0.000 0.000
4.355 2.306 5.450
2.169 5.305 4.598
5.235 4.521 2.481
2.085 4.338 1.412
4.271 1.339 2.264
1.206 2.124 4.381
4.720 4.870 5.029
1.720 1.774 1.832
4.068 6.277 1.020
6.147 0.882 4.293
0.690 4.092 6.306
2.372 0.368 5.842
0.294 5.763 2.569
5.751 2.552 0.556
```

Values from the calculation:
**Magnetization**: 0.0 μB/cell
**Uncorrected formation energy**: -0.52 eV per atom
**DOS at the Fermi energy**: 11.48 states/eV/f.u.
**Total energy**: -3.930 eV per atom

---

17.
Compound: SrIn4S7
Source: Alexandria via LeMat-Bulk
Functional: PBE
Structure: optimized geometry

```
SrIn4S7
1.0
-1.994 5.052 -3.500
-2.865 -4.199 -4.430
-13.786 0.444 8.494
Sr In S
2 8 14
Cartesian
-10.215 -1.884 -1.033
-1.921 3.934 -3.323
-15.191 0.702 2.504
-6.007 -2.921 -1.897
-5.116 2.403 -0.682
-9.750 -0.693 3.355
-6.451 -0.800 1.322
-4.704 0.364 -3.958
-12.921 -2.699 2.363
-11.988 2.625 3.553
-5.580 1.920 -5.711
-7.079 1.455 0.436
-14.114 1.771 4.448
-10.488 -2.622 2.006
-7.414 -2.721 0.112
-3.402 1.426 -2.152
-13.552 -0.583 1.076
-12.928 4.491 2.081
-5.920 4.265 -2.237
-6.774 -0.801 -3.100
-3.320 -1.168 -5.328
-9.284 4.404 0.148
-16.291 2.265 0.888
-10.154 1.555 2.331
```

Values from the calculation:
**Magnetization**: 0.0 μB/cell
**Uncorrected formation energy**: -0.79 eV per atom
**DOS at the Fermi energy**: 0.00 states/eV/f.u.
**Total energy**: -4.248 eV per atom

---

18.
Compound: SrIn3S
Source: Alexandria via LeMat-Bulk
Functional: PBE
Structure: optimized geometry

```
SrIn3S
1.0
-1.288 0.943 -5.951
5.279 -2.756 -1.580
-2.904 -5.429 -0.232
Sr S In
1 1 3
Cartesian
0.000 0.000 0.000
0.543 -3.621 -3.881
2.639 -1.378 -0.790
-1.452 -2.714 -0.116
-0.644 0.472 -2.975
```

Values from the calculation:
**Magnetization**: 0.0 μB/cell
**Relative energy among the computed polymorphs**: 0.9402 eV per atom
**Uncorrected formation energy**: 0.89 eV per atom
**DOS at the Fermi energy**: 3.48 states/eV/f.u.
**Total energy**: -1.919 eV per atom